{"formula": "La2CdRhN", "functional": "GGA-PBE", "state": "relaxed", "space_group": "No. 123", "energy_ev_per_atom": -5.93, "volume_a3_per_atom": 22.39, "raw_formation_energy_ev_per_atom": -0.641, "cell": [[5.294, 0.000, 0.000], [0.000, 5.294, 0.000], [0.000, 0.000, 3.994]], "species": ["La", "La", "Cd", "Rh", "N"], "frac_coords": [[0.000, 0.500, 0.000], [0.500, 0.000, 0.000], [0.000, 0.000, 0.500], [0.500, 0.500, 0.500], [0.500, 0.500, 0.000]]}

{"formula": "La2CdRuN", "functional": "GGA-PBE", "state": "relaxed", "space_group": "No. 123", "energy_ev_per_atom": -6.28, "volume_a3_per_atom": 22.37, "raw_formation_energy_ev_per_atom": -0.601, "cell": [[5.357, 0.000, 0.000], [0.000, 5.357, 0.000], [0.000, 0.000, 3.899]], "species": ["La", "La", "Cd", "Ru", "N"], "frac_coords": [[0.000, 0.500, 0.000], [0.500, 0.000, 0.000], [0.000, 0.000, 0.500], [0.500, 0.500, 0.500], [0.500, 0.500, 0.000]]}

{"formula": "La4CdSbN", "functional": "GGA-PBE", "state": "relaxed", "space_group": "No. 63", "energy_ev_per_atom": -5.56, "volume_a3_per_atom": 29.87, "raw_formation_energy_ev_per_atom": -0.833, "cell": [[3.554, -8.267, 0.000], [3.554, 8.267, 0.000], [0.000, 0.000, 7.117]], "species": ["La", "La", "La", "La", "La", "La", "La", "La", "Cd", "Cd", "Sb", "Sb", "N", "N"], "frac_coords": [[0.000, 0.500, 0.000], [0.000, 0.500, 0.500], [0.087, 0.913, 0.750], [0.413, 0.587, 0.750], [0.500, 0.000, 0.000], [0.500, 0.000, 0.500], [0.587, 0.413, 0.250], [0.913, 0.087, 0.250], [0.114, 0.886, 0.250], [0.886, 0.114, 0.750], [0.390, 0.610, 0.250], [0.610, 0.390, 0.750], [0.239, 0.761, 0.750], [0.761, 0.239, 0.250]]}

{"formula": "LaSc2CdN", "functional": "GGA-PBE", "state": "relaxed", "space_group": "No. 123", "energy_ev_per_atom": -6.15, "volume_a3_per_atom": 21.21, "raw_formation_energy_ev_per_atom": -0.783, "cell": [[4.579, 0.000, 0.000], [0.000, 4.579, 0.000], [0.000, 0.000, 5.057]], "species": ["La", "Sc", "Sc", "Cd", "N"], "frac_coords": [[0.000, 0.000, 0.000], [0.000, 0.500, 0.500], [0.500, 0.000, 0.500], [0.500, 0.500, 0.000], [0.000, 0.000, 0.500]]}

{"formula": "La2ScCdN", "functional": "GGA-PBE", "state": "relaxed", "space_group": "No. 123", "energy_ev_per_atom": -5.86, "volume_a3_per_atom": 24.41, "raw_formation_energy_ev_per_atom": -0.779, "cell": [[5.309, 0.000, 0.000], [0.000, 5.309, 0.000], [0.000, 0.000, 4.331]], "species": ["La", "La", "Sc", "Cd", "N"], "frac_coords": [[0.000, 0.500, 0.000], [0.500, 0.000, 0.000], [0.000, 0.000, 0.500], [0.500, 0.500, 0.500], [0.000, 0.000, 0.000]]}

{"formula": "La4CdSiN", "functional": "GGA-PBE", "state": "relaxed", "space_group": "No. 63", "energy_ev_per_atom": -5.55, "volume_a3_per_atom": 28.75, "raw_formation_energy_ev_per_atom": -0.639, "cell": [[3.510, -8.167, 0.000], [3.510, 8.167, 0.000], [0.000, 0.000, 7.019]], "species": ["La", "La", "La", "La", "La", "La", "La", "La", "Cd", "Cd", "Si", "Si", "N", "N"], "frac_coords": [[0.000, 0.500, 0.000], [0.000, 0.500, 0.500], [0.066, 0.934, 0.750], [0.416, 0.584, 0.750], [0.500, 0.000, 0.000], [0.500, 0.000, 0.500], [0.584, 0.416, 0.250], [0.934, 0.066, 0.250], [0.387, 0.613, 0.250], [0.613, 0.387, 0.750], [0.118, 0.882, 0.250], [0.882, 0.118, 0.750], [0.270, 0.730, 0.750], [0.730, 0.270, 0.250]]}

{"formula": "LaSm2CdN", "functional": "GGA-PBE", "state": "relaxed", "space_group": "No. 123", "energy_ev_per_atom": -5.45, "volume_a3_per_atom": 25.41, "raw_formation_energy_ev_per_atom": -0.733, "cell": [[4.987, 0.000, 0.000], [0.000, 4.987, 0.000], [0.000, 0.000, 5.109]], "species": ["La", "Sm", "Sm", "Cd", "N"], "frac_coords": [[0.000, 0.000, 0.000], [0.000, 0.500, 0.500], [0.500, 0.000, 0.500], [0.500, 0.500, 0.000], [0.000, 0.000, 0.500]]}

{"formula": "La2CdSnN", "functional": "GGA-PBE", "state": "relaxed", "space_group": "No. 123", "energy_ev_per_atom": -5.35, "volume_a3_per_atom": 24.75, "raw_formation_energy_ev_per_atom": -0.729, "cell": [[5.073, 0.000, 0.000], [0.000, 5.073, 0.000], [0.000, 0.000, 4.810]], "species": ["La", "La", "Cd", "Sn", "N"], "frac_coords": [[0.000, 0.500, 0.000], [0.500, 0.000, 0.000], [0.000, 0.000, 0.500], [0.500, 0.500, 0.500], [0.000, 0.000, 0.000]]}

{"formula": "Sr2LaCdN", "functional": "GGA-PBE", "state": "relaxed", "space_group": "No. 123", "energy_ev_per_atom": -4.06, "volume_a3_per_atom": 29.20, "raw_formation_energy_ev_per_atom": -0.550, "cell": [[5.460, 0.000, 0.000], [0.000, 5.460, 0.000], [0.000, 0.000, 4.897]], "species": ["Sr", "Sr", "La", "Cd", "N"], "frac_coords": [[0.000, 0.500, 0.000], [0.500, 0.000, 0.000], [0.000, 0.000, 0.500], [0.500, 0.500, 0.500], [0.000, 0.000, 0.000]]}

{"formula": "SrLa2CdN", "functional": "GGA-PBE", "state": "relaxed", "space_group": "No. 123", "energy_ev_per_atom": -4.77, "volume_a3_per_atom": 27.99, "raw_formation_energy_ev_per_atom": -0.618, "cell": [[5.093, 0.000, 0.000], [0.000, 5.093, 0.000], [0.000, 0.000, 5.394]], "species": ["Sr", "La", "La", "Cd", "N"], "frac_coords": [[0.000, 0.000, 0.000], [0.000, 0.500, 0.500], [0.500, 0.000, 0.500], [0.500, 0.500, 0.000], [0.000, 0.000, 0.500]]}

{"formula": "La2TaCdN", "functional": "GGA-PBE", "state": "relaxed", "space_group": "No. 123", "polymorph_energy_ev_per_atom": 0.0000, "energy_ev_per_atom": -6.74, "volume_a3_per_atom": 23.65, "raw_formation_energy_ev_per_atom": -0.550, "cell": [[5.366, 0.000, 0.000], [0.000, 5.366, 0.000], [0.000, 0.000, 4.107]], "species": ["La", "La", "Ta", "Cd", "N"], "frac_coords": [[0.000, 0.500, 0.000], [0.500, 0.000, 0.000], [0.000, 0.000, 0.500], [0.500, 0.500, 0.500], [0.000, 0.000, 0.000]]}

{"formula": "La2TaCdN", "functional": "GGA-PBE", "state": "relaxed", "space_group": "No. 123", "polymorph_energy_ev_per_atom": 0.7177, "energy_ev_per_atom": -6.02, "volume_a3_per_atom": 23.16, "raw_formation_energy_ev_per_atom": 0.167, "cell": [[4.997, 0.000, 0.000], [0.000, 4.997, 0.000], [0.000, 0.000, 4.637]], "species": ["La", "La", "Ta", "Cd", "N"], "frac_coords": [[0.000, 0.500, 0.000], [0.500, 0.000, 0.000], [0.000, 0.000, 0.500], [0.500, 0.500, 0.500], [0.500, 0.500, 0.000]]}

Copy entry 5 word for word.
{"formula": "La2ScCdN", "functional": "GGA-PBE", "state": "relaxed", "space_group": "No. 123", "energy_ev_per_atom": -5.86, "volume_a3_per_atom": 24.41, "raw_formation_energy_ev_per_atom": -0.779, "cell": [[5.309, 0.000, 0.000], [0.000, 5.309, 0.000], [0.000, 0.000, 4.331]], "species": ["La", "La", "Sc", "Cd", "N"], "frac_coords": [[0.000, 0.500, 0.000], [0.500, 0.000, 0.000], [0.000, 0.000, 0.500], [0.500, 0.500, 0.500], [0.000, 0.000, 0.000]]}